# 1
Compound: TbBe2ZnAu5
Source: Alexandria
Functional: PBE
Structure: relaxed

Results
Magnetization   0.0 μB/f.u.

Lattice parameters (Å, degrees): 4.6373 4.6373 7.2082 90.00 90.00 90.00
With the nearest neighbours (Å) after each atom.
Element x y z (fractional)
Au (0.0000, 0.5000, 0.2158)  2 Be 2.35
Au (0.0000, 0.5000, 0.7842)  2 Be 2.35
Au (0.5000, 0.5000, 0.5000)  2 Be 2.42
Au (0.5000, 0.0000, 0.7842)  2 Be 2.35
Au (0.5000, 0.0000, 0.2158)  2 Be 2.35
Be (0.5000, 0.5000, 0.8364)  5 Au 2.35-2.42, 1 Be 2.36
Be (0.5000, 0.5000, 0.1636)  5 Au 2.35-2.42, 1 Be 2.36
Zn (0.0000, 0.0000, 0.0000)  8 Au 2.79
Tb (0.0000, 0.0000, 0.5000)  12 Au 3.09-3.28


# 2
Compound: BeTc2Au
Source: Alexandria
Functional: PBE
Structure: relaxed

Results
Magnetization   0.0 μB/f.u.

Lattice parameters (Å, degrees): 8.9174 8.9174 8.9174 17.67 17.67 17.67
With the nearest neighbours (Å) after each atom.
Element x y z (fractional)
Au (0.2500, 0.2500, 0.2500)  6 Au 2.74, 6 Tc 2.89
Tc (0.0087, 0.0087, 0.0087)  3 Be 2.52, 6 Tc 2.74
Tc (0.4913, 0.4913, 0.4913)  3 Be 2.52, 6 Tc 2.74
Be (0.7500, 0.7500, 0.7500)  6 Tc 2.52, 6 Be 2.74


# 3
Compound: BeTc2Au
Source: Alexandria
Functional: PBE
Structure: relaxed

Results
Magnetization   0.0 μB/f.u.

Lattice parameters (Å, degrees): 4.9827 4.9827 4.9827 137.06 137.06 62.34
With the nearest neighbours (Å) after each atom.
Element x y z (fractional)
Tc (0.5000, 0.5000, 0.0000)  4 Tc 2.58, 4 Be 2.81, 4 Au 2.81
Tc (0.0000, 0.0000, 0.0000)  4 Tc 2.58, 4 Be 2.81, 4 Au 2.81
Be (0.7500, 0.2500, 0.5000)  4 Au 2.58, 8 Tc 2.81
Au (0.2500, 0.7500, 0.5000)  4 Be 2.58, 8 Tc 2.81


# 4
Compound: BeTcAu3
Source: Alexandria
Functional: PBE
Structure: relaxed

Results
Offset from the most stable computed form   0 meV/atom
Magnetization   2.6 μB/f.u.

Lattice parameters (Å, degrees): 4.4056 4.4056 4.4056 90.00 90.00 90.00
With the nearest neighbours (Å) after each atom.
Element x y z (fractional)
Au (0.5000, 0.0000, 0.0000)  2 Be 2.20
Au (0.0000, 0.0000, 0.5000)  2 Be 2.20
Au (0.0000, 0.5000, 0.0000)  2 Be 2.20
Tc (0.5000, 0.5000, 0.5000)  12 Au 3.12
Be (0.0000, 0.0000, 0.0000)  6 Au 2.20


# 5
Compound: BeTc2Au
Source: Alexandria
Functional: PBE
Structure: relaxed

Results
Magnetization   0.0 μB/f.u.

Lattice parameters (Å, degrees): 3.6026 3.6026 9.7768 79.38 79.38 90.00
With the nearest neighbours (Å) after each atom.
Element x y z (fractional)
Au (0.0000, 0.0000, 0.0000)  4 Be 2.55, 4 Tc 2.73
Au (0.7500, 0.2500, 0.5000)  4 Be 2.55, 4 Tc 2.73
Tc (0.3750, 0.4146, 0.7500)  2 Tc 2.35
Tc (0.8750, 0.8354, 0.7500)  2 Tc 2.35
Tc (0.1646, 0.6250, 0.2500)  2 Tc 2.35
Tc (0.5854, 0.1250, 0.2500)  2 Tc 2.35
Be (0.5000, 0.5000, 0.0000)  4 Au 2.55, 4 Tc 2.64
Be (0.2500, 0.7500, 0.5000)  4 Au 2.55, 4 Tc 2.64


# 6
Compound: BeTc2Au
Source: Alexandria
Functional: PBE
Structure: relaxed

Results
Magnetization   0.0 μB/f.u.

Lattice parameters (Å, degrees): 3.8169 2.8242 5.4788 75.89 90.00 90.00
With the nearest neighbours (Å) after each atom.
Element x y z (fractional)
Tc (0.5000, 0.2923, 0.2118)  1 Be 2.34, 2 Tc 2.54
Tc (0.0000, 0.9703, 0.9912)  6 Tc 2.54-2.82, 4 Be 2.62-2.65, 2 Au 2.81-2.83
Au (0.0000, 0.6541, 0.5226)  2 Be 2.33
Be (0.5000, 0.5833, 0.7744)  2 Au 2.33, 1 Tc 2.34


# 7
Compound: BeTc2Au
Source: Alexandria
Functional: PBE
Structure: relaxed

Results
Magnetization   0.0 μB/f.u.

Lattice parameters (Å, degrees): 4.9216 4.9216 4.9216 144.39 126.89 65.59
With the nearest neighbours (Å) after each atom.
Element x y z (fractional)
Tc (0.0280, 0.0280, 0.0000)  2 Be 2.39
Tc (0.7526, 0.2526, 0.5000)  4 Be 2.67, 4 Tc 2.73-2.88, 4 Au 2.80-2.83
Be (0.2522, 0.7522, 0.5000)  2 Au 2.33, 2 Tc 2.39
Au (0.4672, 0.4672, 0.0000)  2 Be 2.33


# 8
Compound: BeTc2Au
Source: Alexandria
Functional: PBE
Structure: relaxed

Results
Magnetization   0.0 μB/f.u.

Lattice parameters (Å, degrees): 4.6527 4.6527 4.6527 130.69 130.69 72.30
With the nearest neighbours (Å) after each atom.
Element x y z (fractional)
Be (0.7500, 0.2500, 0.5000)  4 Au 2.70, 8 Tc 2.70-2.74
Tc (0.2500, 0.7500, 0.5000)  4 Tc 2.70, 4 Au 2.70, 4 Be 2.74
Tc (0.0000, 0.0000, 0.0000)  4 Tc 2.70, 4 Be 2.70, 4 Au 2.74
Au (0.5000, 0.5000, 0.0000)  4 Be 2.70, 8 Tc 2.70-2.74


# 9
Compound: BeTc2Au
Source: Alexandria
Functional: PBE
Structure: relaxed

Results
Magnetization   0.0 μB/f.u.

Lattice parameters (Å, degrees): 4.3105 3.6276 3.6276 90.00 90.00 90.00
With the nearest neighbours (Å) after each atom.
Element x y z (fractional)
Au (0.5000, 0.5000, 0.0000)  4 Be 2.57, 8 Tc 2.82
Tc (0.0000, 0.0000, 0.0000)  4 Tc 2.57, 4 Be 2.82, 4 Au 2.82
Tc (0.0000, 0.5000, 0.5000)  4 Tc 2.57, 4 Au 2.82, 4 Be 2.82
Be (0.5000, 0.0000, 0.5000)  4 Au 2.57, 8 Tc 2.82


# 10
Compound: Be3TcAu
Source: Alexandria
Functional: PBE
Structure: relaxed

Results
Offset from the most stable computed form   39 meV/atom
Magnetization   0.0 μB/f.u.

Lattice parameters (Å, degrees): 4.1503 4.1503 4.1503 90.00 90.00 90.00
With the nearest neighbours (Å) after each atom.
Element x y z (fractional)
Be (0.5000, 0.0000, 0.0000)  2 Tc 2.08
Be (0.0000, 0.5000, 0.0000)  2 Tc 2.08
Be (0.0000, 0.0000, 0.5000)  2 Tc 2.08
Au (0.5000, 0.5000, 0.5000)  12 Be 2.93
Tc (0.0000, 0.0000, 0.0000)  6 Be 2.08


# 11
Compound: Be2TcAu2
Source: Alexandria
Functional: PBE
Structure: relaxed

Results
Offset from the most stable computed form   0 meV/atom
Magnetization   0.0 μB/f.u.

Lattice parameters (Å, degrees): 6.8500 6.8500 2.8092 90.00 90.00 90.00
With the nearest neighbours (Å) after each atom.
Element x y z (fractional)
Be (0.3603, 0.8603, 0.0000)  6 Au 2.40-2.49, 2 Tc 2.65
Be (0.6397, 0.1397, 0.0000)  6 Au 2.40-2.49, 2 Tc 2.65
Be (0.8603, 0.6397, 0.0000)  6 Au 2.40-2.49, 2 Tc 2.65
Be (0.1397, 0.3603, 0.0000)  6 Au 2.40-2.49, 2 Tc 2.65
Au (0.3408, 0.1592, 0.5000)  6 Be 2.40-2.49
Au (0.1592, 0.6592, 0.5000)  6 Be 2.40-2.49
Au (0.6592, 0.8408, 0.5000)  6 Be 2.40-2.49
Au (0.8408, 0.3408, 0.5000)  6 Be 2.40-2.49
Tc (0.0000, 0.0000, 0.0000)  4 Be 2.65, 2 Tc 2.81, 8 Au 2.93
Tc (0.5000, 0.5000, 0.0000)  4 Be 2.65, 2 Tc 2.81, 8 Au 2.93


# 12
Compound: BeTc2Au
Source: Alexandria
Functional: PBE
Structure: relaxed

Results
Magnetization   0.0 μB/f.u.

Lattice parameters (Å, degrees): 2.7059 2.7059 8.4849 90.00 90.00 113.15
With the nearest neighbours (Å) after each atom.
Element x y z (fractional)
Tc (0.5000, 0.5000, 0.2311)  6 Tc 2.61-2.71
Tc (0.0000, 0.0000, 0.9793)  2 Be 2.40, 2 Tc 2.61
Be (0.5000, 0.5000, 0.7577)  2 Tc 2.40, 2 Au 2.43
Au (0.0000, 0.0000, 0.5320)  2 Be 2.43, 4 Au 2.71


# 13
Compound: BeTc2Au
Source: Alexandria
Functional: PBE
Structure: relaxed

Results
Magnetization   0.0 μB/f.u.

Lattice parameters (Å, degrees): 4.8205 4.8205 2.8182 90.01 90.01 118.68
With the nearest neighbours (Å) after each atom.
Element x y z (fractional)
Tc (0.5000, 0.5000, 0.0000)  2 Tc 2.46
Tc (0.0000, 0.0000, 0.0000)  2 Tc 2.46
Be (0.0000, 0.5000, 0.5000)  2 Au 2.46
Au (0.5000, 0.0000, 0.5000)  2 Be 2.46


Calculated electronic total energy, -32.3, -26.3, -26.7, -21.0, -51.5, -27.2, -27.2, -26.8, -26.7, -20.1, -48.4, -26.9, -26.5 eV per cell (same order as the records).
Calculated calculated formation energy, -0.283, 0.355, 0.266, 0.595, 0.494, 0.126, 0.140, 0.226, 0.248, 0.948, 0.033, 0.216, 0.302 eV/atom (same order as the records).